[1]
Crystalline Ta2AsPb at its relaxed geometry. Source: Alexandria via LeMat-Bulk, functional GGA-PBE.

The excess energy over the best structure of this formula in the dataset comes out at 0.000 eV per atom. As for the total energy: -8.05 eV per atom.

The space group is Pmm2 (No. 25) and the conventional cell measures 3.438, 3.463 and 6.910 Å, with angles of 90.00, 90.00 and 90.00 degrees. Symmetry generates all atoms from Ta at (0.000, 0.000, 0.000), Ta at (0.500, 0.500, 0.231), As at (0.000, 0.000, 0.393) and Pb at (0.500, 0.500, 0.736).

***

[2]
Crystalline La3Pr7Ho at its relaxed geometry. Source: Alexandria via LeMat-Bulk, functional GGA-PBE.

The excess energy over the best structure of this formula in the dataset comes out at 0.005 eV per atom. As for the total energy: -4.58 eV per atom.

The space group is C2/m (No. 12) and the conventional cell measures 13.122, 11.519 and 6.057 Å, with angles of 90.00, 117.41 and 90.00 degrees. Symmetry generates all atoms from La at (0.000, 0.000, 0.000), La at (0.000, 0.212, 0.500), Pr at (0.000, 0.500, 0.500), Pr at (0.197, 0.206, 0.197), Pr at (0.210, 0.000, 0.710) and Ho at (0.000, 0.500, 0.000).

***

[3]
Crystalline ThMg2AlCu4 at its relaxed geometry. Source: Alexandria via LeMat-Bulk, functional GGA-PBE.

As for the total energy: -3.97 eV per atom.

The space group is R-3m (No. 166, hexagonal axes) and the conventional cell measures 4.3087, 4.3087 and 26.0155 Å, with angles of 90.00, 90.00 and 120.00 degrees. Symmetry generates all atoms from Th at (0.0000, 0.0000, 0.0000), Mg at (0.0000, 0.0000, 0.2378), Al at (0.0000, 0.0000, 0.5000), Cu at (0.0000, 0.0000, 0.1328) and Cu at (0.0000, 0.0000, 0.4007).

***

[4]
Crystalline FeNiIr2 at its relaxed geometry. Source: Alexandria via LeMat-Bulk, functional GGA-PBE.

The excess energy over the best structure of this formula in the dataset comes out at 0.004 eV per atom. As for the total energy: -8.03 eV per atom.

The space group is C2/m (No. 12) and the conventional cell measures 8.589, 2.687 and 4.657 Å, with angles of 90.00, 100.47 and 90.00 degrees. Symmetry generates all atoms from Fe at (0.000, 0.000, 0.000), Ni at (0.000, 0.500, 0.500) and Ir at (0.248, 0.500, 0.252).

***

[5]
Crystalline SrCdW2 at its relaxed geometry. Source: Alexandria via LeMat-Bulk, functional GGA-PBE.

As for the total energy: -6.28 eV per atom.

The space group is P4mm (No. 99) and the conventional cell measures 2.820, 2.820 and 10.166 Å, with angles of 90.00, 90.00 and 90.00 degrees. Symmetry generates all atoms from Sr at (0.000, 0.000, 0.000), Cd at (0.500, 0.500, 0.718), W at (0.000, 0.000, 0.490) and W at (0.500, 0.500, 0.270).

***

[6]
Crystalline LiBeI at its relaxed geometry. Source: Alexandria via LeMat-Bulk, functional GGA-PBE.

The excess energy over the best structure of this formula in the dataset comes out at 0.042 eV per atom. The raw formation energy comes out at -0.217 eV per atom. As for the total energy: -2.61 eV per atom.

The space group is Cm (No. 8) and the conventional cell measures 7.246, 4.067 and 10.256 Å, with angles of 90.00, 103.12 and 90.00 degrees. Symmetry generates all atoms from Li at (0.000, 0.000, 0.000), Li at (0.073, 0.500, 0.678), Be at (0.278, 0.000, 0.850), Be at (0.431, 0.500, 0.765), I at (0.352, 0.500, 0.527) and I at (0.363, 0.000, 0.109).

***

[7]
Crystalline BeAgI3 at its relaxed geometry. Source: Alexandria via LeMat-Bulk, functional GGA-PBE.

The excess energy over the best structure of this formula in the dataset comes out at 1.029 eV per atom. The raw formation energy comes out at 0.677 eV per atom. As for the total energy: -1.57 eV per atom.

The space group is Pm-3m (No. 221) and the conventional cell measures 5.689, 5.689 and 5.689 Å, with angles of 90.00, 90.00 and 90.00 degrees. Symmetry generates all atoms from Be at (0.000, 0.000, 0.000), Ag at (0.500, 0.500, 0.500) and I at (0.000, 0.500, 0.500).

***

[8]
Crystalline Cs2Cu2PbCl6 at its relaxed geometry. Source: Alexandria via LeMat-Bulk, functional GGA-PBE.

The raw formation energy comes out at -1.215 eV per atom. As for the total energy: -3.46 eV per atom.

The space group is C2/m (No. 12) and the conventional cell measures 13.212, 7.680 and 8.087 Å, with angles of 90.00, 120.54 and 90.00 degrees. Symmetry generates all atoms from Cs at (0.227, 0.000, 0.210), Cu at (0.050, 0.500, 0.204), Pb at (0.000, 0.000, 0.500), Cl at (0.038, 0.250, 0.796) and Cl at (0.246, 0.500, 0.324).

***

[9]
Crystalline PrNdIrPd at its relaxed geometry. Source: Alexandria via LeMat-Bulk, functional GGA-PBE.

The excess energy over the best structure of this formula in the dataset comes out at 0.000 eV per atom. As for the total energy: -6.62 eV per atom.

The space group is Amm2 (No. 38) and the conventional cell measures 4.522, 3.922 and 10.881 Å, with angles of 90.00, 90.00 and 90.00 degrees. Symmetry generates all atoms from Pr at (0.000, 0.000, 0.000), Nd at (0.500, 0.000, 0.723), Ir at (0.000, 0.000, 0.273) and Pd at (0.500, 0.000, 0.444).

***

[10]
Crystalline TlCdF3 at its relaxed geometry. Source: Alexandria via LeMat-Bulk, functional GGA-PBE.

The raw formation energy comes out at -2.008 eV per atom. As for the total energy: -3.79 eV per atom.

The space group is C2/c (No. 15) and the conventional cell measures 11.124, 11.750 and 6.038 Å, with angles of 90.00, 91.35 and 90.00 degrees. Symmetry generates all atoms from Tl at (0.168, 0.093, 0.162), Cd at (0.000, 0.267, 0.750), Cd at (0.000, 0.422, 0.250), F at (0.071, 0.133, 0.533), F at (0.098, 0.424, 0.589) and F at (0.120, 0.309, 0.055).

***

[11]
Crystalline BaZrPS2 at its relaxed geometry. Source: Alexandria via LeMat-Bulk, functional GGA-PBE.

The excess energy over the best structure of this formula in the dataset comes out at 0.000 eV per atom. The raw formation energy comes out at -1.304 eV per atom. As for the total energy: -6.13 eV per atom.

The space group is P4/mmm (No. 123) and the conventional cell measures 5.065, 5.065 and 5.114 Å, with angles of 90.00, 90.00 and 90.00 degrees. Symmetry generates all atoms from Ba at (0.000, 0.000, 0.000), Zr at (0.500, 0.500, 0.500), P at (0.500, 0.500, 0.000) and S at (0.000, 0.500, 0.500).

***

[12]
Crystalline NiSbMo at its relaxed geometry. Source: Alexandria via LeMat-Bulk, functional GGA-PBE.

The raw formation energy comes out at 0.252 eV per atom. As for the total energy: -6.66 eV per atom.

The space group is P3m1 (No. 156) and the conventional cell measures 4.3421, 4.3421 and 2.9351 Å, with angles of 90.00, 90.00 and 120.00 degrees. Symmetry generates all atoms from Ni at (0.0000, 0.0000, 0.0000), Sb at (0.3333, 0.6667, 0.0037) and Mo at (0.6667, 0.3333, 0.5023).

***

[13]
Crystalline Y4Ho5Er2 at its relaxed geometry. Source: Alexandria via LeMat-Bulk, functional GGA-PBE.

The excess energy over the best structure of this formula in the dataset comes out at 0.136 eV per atom. As for the total energy: -5.00 eV per atom.

The space group is Immm (No. 71) and the conventional cell measures 3.496, 8.986 and 23.121 Å, with angles of 90.00, 90.00 and 90.00 degrees. Symmetry generates all atoms from Y at (0.000, 0.000, 0.098), Y at (0.000, 0.308, 0.500), Ho at (0.000, 0.198, 0.354), Ho at (0.000, 0.500, 0.000) and Er at (0.000, 0.000, 0.231).

***

[14]
Crystalline LaSi4Os at its relaxed geometry. Source: Alexandria via LeMat-Bulk, functional GGA-PBE.

The raw formation energy comes out at 0.364 eV per atom. As for the total energy: -5.94 eV per atom.

The space group is F-43m (No. 216) and the conventional cell measures 7.416, 7.416 and 7.416 Å, with angles of 90.00, 90.00 and 90.00 degrees. Symmetry generates all atoms from La at (0.000, 0.000, 0.000), Si at (0.122, 0.122, 0.378) and Os at (0.250, 0.250, 0.750).

***

[15]
Crystalline KLa2Ta at its relaxed geometry. Source: Alexandria via LeMat-Bulk, functional GGA-PBE.

The excess energy over the best structure of this formula in the dataset comes out at 0.315 eV per atom. As for the total energy: -4.97 eV per atom.

The space group is Pm (No. 6) and the conventional cell measures 3.260, 5.305 and 8.727 Å, with angles of 90.00, 91.29 and 90.00 degrees. Symmetry generates all atoms from K at (0.000, 0.000, 0.000), La at (0.528, 0.500, 0.348), La at (0.535, 0.000, 0.581) and Ta at (0.045, 0.500, 0.664).

***

[16]
Crystalline TiCr3Pt at its relaxed geometry. Source: Alexandria via LeMat-Bulk, functional GGA-PBE.

The excess energy over the best structure of this formula in the dataset comes out at 0.065 eV per atom. As for the total energy: -7.24 eV per atom.

The space group is Pm-3m (No. 221) and the conventional cell measures 4.212, 4.212 and 4.212 Å, with angles of 90.00, 90.00 and 90.00 degrees. Symmetry generates all atoms from Ti at (0.000, 0.000, 0.000), Cr at (0.000, 0.000, 0.500) and Pt at (0.500, 0.500, 0.500).

***

[17]
Crystalline Rb3PtI6 at its relaxed geometry. Source: Alexandria via LeMat-Bulk, functional GGA-PBE.

The excess energy over the best structure of this formula in the dataset comes out at 0.043 eV per atom. The raw formation energy comes out at -0.830 eV per atom. As for the total energy: -2.65 eV per atom.

The space group is I4/mmm (No. 139) and the conventional cell measures 8.781, 8.781 and 12.353 Å, with angles of 90.00, 90.00 and 90.00 degrees. Symmetry generates all atoms from Rb at (0.000, 0.000, 0.000), Rb at (0.000, 0.500, 0.250), Pt at (0.000, 0.000, 0.500), I at (0.000, 0.000, 0.278) and I at (0.223, 0.223, 0.500).

***

[18]
Crystalline AcTcGe2 at its relaxed geometry. Source: Alexandria via LeMat-Bulk, functional GGA-PBE.

The excess energy over the best structure of this formula in the dataset comes out at 0.292 eV per atom. As for the total energy: -6.10 eV per atom.

The space group is P4/mmm (No. 123) and the conventional cell measures 3.338, 3.338 and 7.329 Å, with angles of 90.00, 90.00 and 90.00 degrees. Symmetry generates all atoms from Ac at (0.000, 0.000, 0.000), Tc at (0.000, 0.000, 0.500) and Ge at (0.500, 0.500, 0.314).

***

[19]
Crystalline HoThH at its relaxed geometry. Source: Alexandria via LeMat-Bulk, functional GGA-PBE.

The excess energy over the best structure of this formula in the dataset comes out at 0.048 eV per atom. As for the total energy: -5.29 eV per atom.

The space group is P3m1 (No. 156) and the conventional cell measures 3.5831, 3.5831 and 5.8376 Å, with angles of 90.00, 90.00 and 120.00 degrees. Symmetry generates all atoms from Ho at (0.0000, 0.0000, 0.0000), Th at (0.3333, 0.6667, 0.4996) and H at (0.6667, 0.3333, 0.2325).

***

[20]
Crystalline Tm2BeRh2 at its relaxed geometry. Source: Alexandria via LeMat-Bulk, functional GGA-PBE.

The excess energy over the best structure of this formula in the dataset comes out at 0.000 eV per atom. As for the total energy: -6.25 eV per atom.

The space group is C2/c (No. 15) and the conventional cell measures 10.146, 5.321 and 6.953 Å, with angles of 90.00, 102.70 and 90.00 degrees. Symmetry generates all atoms from Tm at (0.146, 0.132, 0.148), Be at (0.000, 0.394, 0.750) and Rh at (0.128, 0.372, 0.510).

***

Number 1: spin magnetization 0.0 Bohr magnetons per cell. Number 2: spin magnetization 0.0 Bohr magnetons per cell. Number 3: spin magnetization 0.0 Bohr magnetons per cell. Number 4: spin magnetization 6.9 Bohr magnetons per cell. Number 5: spin magnetization 0.0 Bohr magnetons per cell. Number 6: spin magnetization 0.0 Bohr magnetons per cell. Number 7: spin magnetization 0.9 Bohr magnetons per cell. Number 8: spin magnetization 0.2 Bohr magnetons per cell. Number 9: spin magnetization 0.0 Bohr magnetons per cell. Number 10: spin magnetization 0.0 Bohr magnetons per cell. Number 11: spin magnetization 0.0 Bohr magnetons per cell. Number 12: spin magnetization 0.0 Bohr magnetons per cell. Number 13: spin magnetization 0.0 Bohr magnetons per cell. Number 14: spin magnetization 0.0 Bohr magnetons per cell. Number 15: spin magnetization 0.0 Bohr magnetons per cell. Number 16: spin magnetization 0.0 Bohr magnetons per cell. Number 17: spin magnetization 0.0 Bohr magnetons per cell. Number 18: spin magnetization 0.0 Bohr magnetons per cell. Number 19: spin magnetization 0.0 Bohr magnetons per cell. Number 20: spin magnetization 0.0 Bohr magnetons per cell.